# 1
# PBE TaMoI2N, relaxed
data_TaMoI2N
_space_group_name_H-M_alt 'P 4/m m m'
_space_group_IT_number 123
_space_group_name_Hall '-P 4 2'
_cell_length_a 5.5551
_cell_length_b 5.5551
_cell_length_c 3.7771
_cell_angle_alpha 90.00
_cell_angle_beta 90.00
_cell_angle_gamma 90.00
loop_
_atom_site_label
_atom_site_type_symbol
_atom_site_fract_x
_atom_site_fract_y
_atom_site_fract_z
Ta1 Ta 0.0000 0.0000 0.0000
Mo1 Mo 0.5000 0.5000 0.5000
I1 I 0.0000 0.5000 0.5000
N1 N 0.5000 0.5000 0.0000
# E_form (uncorrected) = 1.08 eV/atom
# Total magnetization = 2.89 Bohr magnetons per cell
# Total DFT energy (no corrections) = -5.75 eV per atom

***

# 2
# PBE Te2MoIN, relaxed
data_Te2MoIN
_space_group_name_H-M_alt 'P 4/m m m'
_space_group_IT_number 123
_space_group_name_Hall '-P 4 2'
_cell_length_a 4.7286
_cell_length_b 4.7286
_cell_length_c 4.6554
_cell_angle_alpha 90.00
_cell_angle_beta 90.00
_cell_angle_gamma 90.00
loop_
_atom_site_label
_atom_site_type_symbol
_atom_site_fract_x
_atom_site_fract_y
_atom_site_fract_z
Te1 Te 0.0000 0.5000 0.0000
Mo1 Mo 0.0000 0.0000 0.5000
I1 I 0.5000 0.5000 0.5000
N1 N 0.5000 0.5000 0.0000
# E_form (uncorrected) = 1.35 eV/atom
# Total magnetization = 0.00 Bohr magnetons per cell
# Total DFT energy (no corrections) = -4.05 eV per atom

***

# 3
# PBE TeMoI2N, relaxed
data_TeMoI2N
_space_group_name_H-M_alt 'P 4/m m m'
_space_group_IT_number 123
_space_group_name_Hall '-P 4 2'
_cell_length_a 6.2216
_cell_length_b 6.2216
_cell_length_c 3.9907
_cell_angle_alpha 90.00
_cell_angle_beta 90.00
_cell_angle_gamma 90.00
loop_
_atom_site_label
_atom_site_type_symbol
_atom_site_fract_x
_atom_site_fract_y
_atom_site_fract_z
Te1 Te 0.0000 0.0000 0.0000
Mo1 Mo 0.5000 0.5000 0.5000
I1 I 0.0000 0.5000 0.0000
N1 N 0.0000 0.0000 0.5000
# E_form (uncorrected) = 1.34 eV/atom
# Total magnetization = 4.97 Bohr magnetons per cell
# Total DFT energy (no corrections) = -3.74 eV per atom

***

# 4
# PBE TeMoI2N, relaxed
data_TeMoI2N
_space_group_name_H-M_alt 'P 4/m m m'
_space_group_IT_number 123
_space_group_name_Hall '-P 4 2'
_cell_length_a 5.6716
_cell_length_b 5.6716
_cell_length_c 3.8569
_cell_angle_alpha 90.00
_cell_angle_beta 90.00
_cell_angle_gamma 90.00
loop_
_atom_site_label
_atom_site_type_symbol
_atom_site_fract_x
_atom_site_fract_y
_atom_site_fract_z
Te1 Te 0.0000 0.0000 0.0000
Mo1 Mo 0.5000 0.5000 0.5000
I1 I 0.0000 0.5000 0.5000
N1 N 0.5000 0.5000 0.0000
# E_form (uncorrected) = 0.46 eV/atom
# Total magnetization = 0.29 Bohr magnetons per cell
# Total DFT energy (no corrections) = -4.62 eV per atom

***

# 5
# PBE Te2MoIN, relaxed
data_Te2MoIN
_space_group_name_H-M_alt 'P 4/m m m'
_space_group_IT_number 123
_space_group_name_Hall '-P 4 2'
_cell_length_a 5.5610
_cell_length_b 5.5610
_cell_length_c 3.8565
_cell_angle_alpha 90.00
_cell_angle_beta 90.00
_cell_angle_gamma 90.00
loop_
_atom_site_label
_atom_site_type_symbol
_atom_site_fract_x
_atom_site_fract_y
_atom_site_fract_z
Te1 Te 0.0000 0.5000 0.0000
Mo1 Mo 0.0000 0.0000 0.0000
I1 I 0.5000 0.5000 0.5000
N1 N 0.0000 0.0000 0.5000
# E_form (uncorrected) = 0.32 eV/atom
# Total magnetization = 0.00 Bohr magnetons per cell
# Total DFT energy (no corrections) = -5.08 eV per atom

***

# 6
# PBE TeMoI2N, relaxed
data_TeMoI2N
_space_group_name_H-M_alt 'P 4/m m m'
_space_group_IT_number 123
_space_group_name_Hall '-P 4 2'
_cell_length_a 4.7449
_cell_length_b 4.7449
_cell_length_c 4.8194
_cell_angle_alpha 90.00
_cell_angle_beta 90.00
_cell_angle_gamma 90.00
loop_
_atom_site_label
_atom_site_type_symbol
_atom_site_fract_x
_atom_site_fract_y
_atom_site_fract_z
Te1 Te 0.0000 0.0000 0.0000
Mo1 Mo 0.5000 0.5000 0.0000
I1 I 0.0000 0.5000 0.5000
N1 N 0.0000 0.0000 0.5000
# E_form (uncorrected) = 1.59 eV/atom
# Total magnetization = 0.00 Bohr magnetons per cell
# Total DFT energy (no corrections) = -3.49 eV per atom

***

- The highest total magnetization belongs to which entry?
  number 3